Record 1
LaHoLuZr | PBE | relaxed

## Properties
- Energy relative to the elements: 195.5 meV/atom
- Total magnetization: 0.79 μB/cell
- Calculated density: 8.0 g/cm3

a = 7.7874 Å, b = 7.7874 Å, c = 7.7874 Å
α = 90.00°, β = 90.00°, γ = 90.00°
With the nearest neighbours (Å) after each atom.
Space group F-43m (No. 216)
Asymmetric unit:
La: 0.0000 0.0000 0.0000  4 Ho 3.37, 4 Lu 3.37
Ho: 0.2500 0.2500 0.2500  4 Zr 3.37, 4 La 3.37
Lu: 0.2500 0.2500 0.7500  4 Zr 3.37, 4 La 3.37
Zr: 0.0000 0.0000 0.5000  4 Lu 3.37, 4 Ho 3.37

Record 2
SrCdRe3 | PBE | relaxed

## Properties
- Excess energy over the best structure of this formula in the dataset: 0.0 meV/atom
- Energy relative to the elements: 2642.2 meV/atom
- Total magnetization: 3.44 μB/cell
- Calculated density: 10.2 g/cm3

a = 4.9751 Å, b = 4.9751 Å, c = 4.9751 Å
α = 90.00°, β = 90.00°, γ = 90.00°
With the nearest neighbours (Å) after each atom.
Space group Pm-3m (No. 221)
Asymmetric unit:
Sr: 0.0000 0.0000 0.0000  12 Re 3.52
Cd: 0.5000 0.5000 0.5000  6 Re 2.49
Re: 0.0000 0.5000 0.5000  2 Cd 2.49

Record 3
GaSi2PO | PBE | relaxed

## Properties
- E_form (uncorrected): 6.686 eV/f.u.
- Total magnetization: 0.00 μB/cell
- Calculated density: 2.8 g/cm3

a = 4.8249 Å, b = 4.8249 Å, c = 4.4570 Å
α = 90.00°, β = 90.00°, γ = 90.00°
With the nearest neighbours (Å) after each atom.
Space group P4/mmm (No. 123)
Asymmetric unit:
Ga: 0.0000 0.0000 0.0000  2 P 2.23, 4 Si 2.41
Si: 0.0000 0.5000 0.0000  2 Ga 2.41
P: 0.0000 0.0000 0.5000  2 Ga 2.23
O: 0.5000 0.5000 0.5000  8 Si 3.28, 4 P 3.41

Record 4
CuOsBr2 | PBE | relaxed

## Properties
- E_form (uncorrected): 4.687 eV/f.u.
- Excess energy over the best structure of this formula in the dataset: 751.1 meV/atom
- Total magnetization: 0.00 μB/cell
- Calculated density: 9.9 g/cm3

a = 6.5177 Å, b = 6.5177 Å, c = 6.5177 Å
α = 90.00°, β = 90.00°, γ = 90.00°
With the nearest neighbours (Å) after each atom.
Space group Fm-3m (No. 225)
Asymmetric unit:
Cu: 0.0000 0.0000 0.0000  8 Br 2.82
Os: 0.0000 0.0000 0.5000  8 Br 2.82
Br: 0.2500 0.2500 0.2500  4 Os 2.82, 4 Cu 2.82

Record 5
SrTcC2S | PBE | relaxed

## Properties
- E_form (uncorrected): 17.820 eV/f.u.
- Total magnetization: 0.00 μB/cell
- Calculated density: 3.9 g/cm3

a = 4.2747 Å, b = 4.2747 Å, c = 5.7043 Å
α = 90.00°, β = 90.00°, γ = 90.00°
With the nearest neighbours (Å) after each atom.
Space group P4/mmm (No. 123)
Asymmetric unit:
Sr: 0.0000 0.0000 0.0000  4 C 2.14
Tc: 0.0000 0.0000 0.5000  2 Sr 2.85, 4 S 3.02
C: 0.0000 0.5000 0.0000  2 Sr 2.14
S: 0.5000 0.5000 0.5000  4 Tc 3.02

Record 6
CdAg14Sb | PBE | relaxed

## Properties
- E_form (uncorrected): 0.516 eV/f.u.
- Total magnetization: 0.00 μB/cell
- Calculated density: 9.7 g/cm3

a = 9.5809 Å, b = 6.0358 Å, c = 10.2981 Å
α = 90.00°, β = 90.00°, γ = 90.00°
With the nearest neighbours (Å) after each atom.
Space group Amm2 (No. 38)
Asymmetric unit:
Cd: 0.0000 0.0000 0.0000  10 Ag 2.98-3.00, 2 Sb 3.02
Ag: 0.0000 0.2498 0.2500  8 Ag 2.98-3.02, 2 Sb 2.98-2.99, 2 Cd 2.98
Ag: 0.2531 0.0000 0.8321  11 Ag 2.93-3.02, 1 Cd 2.98
Ag: 0.2548 0.0000 0.3308  11 Ag 2.91-3.02, 1 Sb 3.00
Ag: 0.2564 0.2469 0.0841  10 Ag 2.89-3.06, 1 Cd 3.00, 1 Sb 3.02
Ag: 0.5000 0.0000 0.1645  12 Ag 2.89-3.02
Ag: 0.5000 0.0000 0.6635  12 Ag 2.91-3.02
Ag: 0.5000 0.2502 0.4137  12 Ag 2.92-3.02
Sb: 0.0000 0.0000 0.5006  10 Ag 2.98-3.02, 2 Cd 3.02